[1]
# MgPb

A relaxed structure of MgPb (GGA-PBEsol, Alexandria).

a = 3.5740 Å, b = 5.2420 Å, c = 5.5424 Å
α = 90.00°, β = 90.00°, γ = 90.00°
Last column: nearest neighbours and their distance in Å.
Fractional coordinates of all 4 atoms:
Pb: 0.5000 0.9103 0.0000  6 Mg 3.16-3.25, 4 Pb 3.43
Pb: 0.0000 0.0897 0.5000  6 Mg 3.16-3.25, 4 Pb 3.43
Mg: 0.0000 0.4138 0.0000  6 Pb 3.16-3.25, 4 Mg 3.42
Mg: 0.5000 0.5862 0.5000  6 Pb 3.16-3.25, 4 Mg 3.42

Computed properties:
Its space-group type is Pmmn (59). The calculation puts the energy relative to the elements at -0.0373 eV per atom. The total DFT energy (no corrections) comes out at -2.895 eV/atom.

[2]
# Mg4Pb5

A relaxed structure of Mg4Pb5 (GGA-PBEsol, Alexandria).

a = 4.7165 Å, b = 7.4893 Å, c = 7.4893 Å
α = 84.31°, β = 71.65°, γ = 71.65°
Last column: nearest neighbours and their distance in Å.
Fractional coordinates of all 9 atoms:
Mg: 0.0000 0.6611 0.3389  5 Mg 3.24-3.29, 7 Pb 3.32-3.41
Mg: 0.0000 0.3389 0.6611  5 Mg 3.24-3.29, 7 Pb 3.32-3.41
Mg: 0.6611 0.3389 0.3389  5 Mg 3.24-3.29, 7 Pb 3.32-3.41
Mg: 0.3389 0.6611 0.6611  5 Mg 3.24-3.29, 7 Pb 3.32-3.41
Pb: 0.0000 0.0000 0.0000  8 Pb 3.38, 4 Mg 3.41
Pb: 0.6702 0.0000 0.6596  6 Pb 3.27-3.42, 6 Mg 3.32-3.37
Pb: 0.3298 0.0000 0.3404  6 Pb 3.27-3.42, 6 Mg 3.32-3.37
Pb: 0.6702 0.6596 0.0000  6 Pb 3.27-3.42, 6 Mg 3.32-3.37
Pb: 0.3298 0.3404 0.0000  6 Pb 3.27-3.42, 6 Mg 3.32-3.37

Computed properties:
Its space-group type is I4/mmm (139). The calculation puts the energy relative to the elements at -0.0174 eV per atom. Its offset from the most stable computed form is 12 meV/atom. The total DFT energy (no corrections) comes out at -3.002 eV/atom.

- Which value of energy relative to the elements does entry 2 give?
  -0.0174 eV per atom